(1)
# K3TeS, single point on PBEsol structure, DFT SCAN
data_K3TeS
_cell_length_a 5.879
_cell_length_b 5.879
_cell_length_c 5.879
_cell_angle_alpha 90.00
_cell_angle_beta 90.00
_cell_angle_gamma 90.00
_symmetry_space_group_name_H-M 'P 1'
_symmetry_Int_Tables_number 1
_symmetry_space_group_name_Hall 'P 1'
loop_
_atom_site_label
_atom_site_fract_x
_atom_site_fract_y
_atom_site_fract_z
K1 0.500 0.000 0.000
S1 0.000 0.000 0.000
Te1 0.500 0.500 0.500
K2 0.000 0.000 0.500
K3 0.000 0.500 0.000
# SG	No. 221
# magnetization	1.033	μB per cell
# E_form (uncorrected)	-0.8957	eV per atom
# crystal system	cubic
# volume	203.23	Å³/f.u.
# raw total energy	-76.3	eV per formula unit

---

(2)
# KTi2S, single point on PBEsol structure, DFT SCAN
data_KTi2S
_cell_length_a 4.542
_cell_length_b 4.542
_cell_length_c 9.530
_cell_angle_alpha 103.79
_cell_angle_beta 103.79
_cell_angle_gamma 90.00
_symmetry_space_group_name_H-M 'P 1'
_symmetry_Int_Tables_number 1
_symmetry_space_group_name_Hall 'P 1'
loop_
_atom_site_label
_atom_site_fract_x
_atom_site_fract_y
_atom_site_fract_z
Ti1 0.625 0.375 0.250
K1 0.250 0.750 0.500
Ti2 0.625 0.375 0.750
Ti3 0.625 0.875 0.250
K2 0.000 0.000 0.000
Ti4 0.125 0.375 0.750
S1 0.750 0.250 0.500
S2 0.500 0.500 0.000
# SG	No. 141
# magnetization	0.000	μB per cell
# E_form (uncorrected)	0.0909	eV per atom
# crystal system	tetragonal
# volume	92.55	Å³/f.u.
# raw total energy	-49.7	eV per formula unit

---

(3)
# K3VS4, single point on PBEsol structure, DFT SCAN
data_K3VS4
_cell_length_a 9.035
_cell_length_b 9.090
_cell_length_c 10.410
_cell_angle_alpha 90.00
_cell_angle_beta 90.00
_cell_angle_gamma 90.00
_symmetry_space_group_name_H-M 'P 1'
_symmetry_Int_Tables_number 1
_symmetry_space_group_name_Hall 'P 1'
loop_
_atom_site_label
_atom_site_fract_x
_atom_site_fract_y
_atom_site_fract_z
K1 0.052 0.207 0.545
S1 0.666 0.949 0.920
K2 0.640 0.085 0.250
S2 0.166 0.551 0.580
S3 0.666 0.949 0.580
S4 0.300 0.250 0.750
K3 0.052 0.207 0.955
S5 0.834 0.449 0.420
S6 0.334 0.051 0.420
S7 0.166 0.551 0.920
K4 0.552 0.293 0.545
S8 0.200 0.750 0.250
K5 0.360 0.915 0.750
K6 0.140 0.415 0.250
V1 0.218 0.985 0.250
S9 0.500 0.421 0.250
S10 0.334 0.051 0.080
K7 0.948 0.793 0.045
K8 0.860 0.585 0.750
S11 0.700 0.750 0.250
S12 0.000 0.079 0.250
S13 0.500 0.579 0.750
V2 0.718 0.515 0.250
S14 0.000 0.921 0.750
S15 0.800 0.250 0.750
V3 0.782 0.015 0.750
K9 0.448 0.707 0.045
K10 0.552 0.293 0.955
K11 0.448 0.707 0.455
V4 0.282 0.485 0.750
S16 0.834 0.449 0.080
K12 0.948 0.793 0.455
# SG	No. 62
# magnetization	0.000	μB per cell
# E_form (uncorrected)	-1.3803	eV per atom
# crystal system	orthorhombic
# volume	213.73	Å³/f.u.
# raw total energy	-92.0	eV per formula unit

---

(4)
# KYS3, single point on PBEsol structure, DFT SCAN
data_KYS3
_cell_length_a 4.992
_cell_length_b 4.992
_cell_length_c 4.992
_cell_angle_alpha 90.00
_cell_angle_beta 90.00
_cell_angle_gamma 90.00
_symmetry_space_group_name_H-M 'P 1'
_symmetry_Int_Tables_number 1
_symmetry_space_group_name_Hall 'P 1'
loop_
_atom_site_label
_atom_site_fract_x
_atom_site_fract_y
_atom_site_fract_z
S1 0.000 0.000 0.500
Y1 0.500 0.500 0.500
S2 0.500 0.000 0.000
K1 0.000 0.000 0.000
S3 0.000 0.500 0.000
# SG	No. 221
# magnetization	0.002	μB per cell
# E_form (uncorrected)	0.1421	eV per atom
# crystal system	cubic
# volume	124.41	Å³/f.u.
# distance to the lowest polymorph of the same formula	1367.0	meV/atom
# raw total energy	-64.3	eV per formula unit

---

(5)
# KYS3, single point on PBEsol structure, DFT SCAN
data_KYS3
_cell_length_a 5.234
_cell_length_b 5.234
_cell_length_c 5.234
_cell_angle_alpha 90.00
_cell_angle_beta 90.00
_cell_angle_gamma 90.00
_symmetry_space_group_name_H-M 'P 1'
_symmetry_Int_Tables_number 1
_symmetry_space_group_name_Hall 'P 1'
loop_
_atom_site_label
_atom_site_fract_x
_atom_site_fract_y
_atom_site_fract_z
Y1 0.000 0.000 0.000
S1 0.000 0.500 0.000
S2 0.000 0.000 0.500
K1 0.500 0.500 0.500
S3 0.500 0.000 0.000
# SG	No. 221
# magnetization	2.006	μB per cell
# E_form (uncorrected)	-1.2250	eV per atom
# crystal system	cubic
# volume	143.39	Å³/f.u.
# distance to the lowest polymorph of the same formula	0.0	meV/atom
# raw total energy	-71.2	eV per formula unit

---

(6)
# K2ZnS, single point on PBEsol structure, DFT SCAN
data_K2ZnS
_cell_length_a 5.356
_cell_length_b 5.356
_cell_length_c 5.356
_cell_angle_alpha 60.00
_cell_angle_beta 60.00
_cell_angle_gamma 60.00
_symmetry_space_group_name_H-M 'P 1'
_symmetry_Int_Tables_number 1
_symmetry_space_group_name_Hall 'P 1'
loop_
_atom_site_label
_atom_site_fract_x
_atom_site_fract_y
_atom_site_fract_z
K1 0.250 0.250 0.250
K2 0.750 0.750 0.750
Zn1 0.500 0.500 0.500
S1 0.000 0.000 0.000
# SG	No. 225
# magnetization	0.000	μB per cell
# E_form (uncorrected)	-0.6151	eV per atom
# crystal system	cubic
# volume	108.63	Å³/f.u.
# raw total energy	-42.3	eV per formula unit

---

(7)
# K2ZnS2, single point on PBEsol structure, DFT SCAN
data_K2ZnS2
_cell_length_a 6.139
_cell_length_b 6.638
_cell_length_c 7.724
_cell_angle_alpha 115.45
_cell_angle_beta 113.42
_cell_angle_gamma 90.00
_symmetry_space_group_name_H-M 'P 1'
_symmetry_Int_Tables_number 1
_symmetry_space_group_name_Hall 'P 1'
loop_
_atom_site_label
_atom_site_fract_x
_atom_site_fract_y
_atom_site_fract_z
S1 0.603 0.292 0.205
S2 0.103 0.914 0.205
Zn1 0.750 0.000 0.000
S3 0.397 0.708 0.795
K1 0.855 0.523 0.710
K2 0.145 0.477 0.290
K3 0.355 0.186 0.710
S4 0.897 0.086 0.795
K4 0.645 0.814 0.290
Zn2 0.250 0.000 0.000
# SG	No. 72
# magnetization	0.000	μB per cell
# E_form (uncorrected)	-1.2500	eV per atom
# crystal system	orthorhombic
# volume	127.62	Å³/f.u.
# raw total energy	-55.7	eV per formula unit

---

(8)
# K2ZrS, single point on PBEsol structure, DFT SCAN
data_K2ZrS
_cell_length_a 4.914
_cell_length_b 8.464
_cell_length_c 8.464
_cell_angle_alpha 85.17
_cell_angle_beta 73.13
_cell_angle_gamma 73.13
_symmetry_space_group_name_H-M 'P 1'
_symmetry_Int_Tables_number 1
_symmetry_space_group_name_Hall 'P 1'
loop_
_atom_site_label
_atom_site_fract_x
_atom_site_fract_y
_atom_site_fract_z
S1 0.250 0.500 0.500
Zr1 0.000 0.000 0.000
S2 0.500 0.000 0.000
Zr2 0.750 0.500 0.500
K1 0.268 0.857 0.357
K2 0.375 0.357 0.143
K3 0.875 0.643 0.857
K4 0.482 0.143 0.643
# SG	No. 122
# magnetization	4.791	μB per cell
# E_form (uncorrected)	-0.2179	eV per atom
# crystal system	tetragonal
# volume	161.17	Å³/f.u.
# raw total energy	-57.9	eV per formula unit

---

(9)
# KSb3, single point on PBEsol structure, DFT SCAN
data_KSb3
_cell_length_a 3.136
_cell_length_b 6.489
_cell_length_c 6.489
_cell_angle_alpha 117.46
_cell_angle_beta 99.27
_cell_angle_gamma 99.27
_symmetry_space_group_name_H-M 'P 1'
_symmetry_Int_Tables_number 1
_symmetry_space_group_name_Hall 'P 1'
loop_
_atom_site_label
_atom_site_fract_x
_atom_site_fract_y
_atom_site_fract_z
Sb1 0.500 0.500 0.000
Sb2 0.000 0.500 0.500
Sb3 0.500 0.000 0.500
K1 0.000 0.000 0.000
# SG	No. 166
# magnetization	0.000	μB per cell
# E_form (uncorrected)	0.0079	eV per atom
# crystal system	trigonal
# volume	111.40	Å³/f.u.
# distance to the lowest polymorph of the same formula	188.1	meV/atom
# raw total energy	-120.1	eV per formula unit

---

(10)
# KSb4, single point on PBEsol structure, DFT SCAN
data_KSb4
_cell_length_a 5.644
_cell_length_b 5.644
_cell_length_c 6.685
_cell_angle_alpha 114.97
_cell_angle_beta 114.97
_cell_angle_gamma 90.00
_symmetry_space_group_name_H-M 'P 1'
_symmetry_Int_Tables_number 1
_symmetry_space_group_name_Hall 'P 1'
loop_
_atom_site_label
_atom_site_fract_x
_atom_site_fract_y
_atom_site_fract_z
Sb1 0.250 0.750 0.500
Sb2 0.652 0.652 0.303
Sb3 0.750 0.250 0.500
Sb4 0.348 0.348 0.697
K1 0.000 0.000 0.000
# SG	No. 139
# magnetization	0.000	μB per cell
# E_form (uncorrected)	-0.1370	eV per atom
# crystal system	tetragonal
# volume	170.82	Å³/f.u.
# raw total energy	-158.1	eV per formula unit

---

(11)
# KSb3, single point on PBEsol structure, DFT SCAN
data_KSb3
_cell_length_a 3.861
_cell_length_b 5.466
_cell_length_c 6.006
_cell_angle_alpha 90.00
_cell_angle_beta 90.00
_cell_angle_gamma 90.00
_symmetry_space_group_name_H-M 'P 1'
_symmetry_Int_Tables_number 1
_symmetry_space_group_name_Hall 'P 1'
loop_
_atom_site_label
_atom_site_fract_x
_atom_site_fract_y
_atom_site_fract_z
Sb1 0.500 0.500 0.756
Sb2 0.500 0.000 0.505
Sb3 0.000 0.500 0.400
K1 0.000 0.000 0.006
# SG	No. 25
# magnetization	0.000	μB per cell
# E_form (uncorrected)	-0.0928	eV per atom
# crystal system	orthorhombic
# volume	126.73	Å³/f.u.
# distance to the lowest polymorph of the same formula	87.5	meV/atom
# raw total energy	-120.5	eV per formula unit

---

(12)
# KSb3, single point on PBEsol structure, DFT SCAN
data_KSb3
_cell_length_a 3.937
_cell_length_b 6.053
_cell_length_c 6.108
_cell_angle_alpha 108.24
_cell_angle_beta 90.00
_cell_angle_gamma 108.98
_symmetry_space_group_name_H-M 'P 1'
_symmetry_Int_Tables_number 1
_symmetry_space_group_name_Hall 'P 1'
loop_
_atom_site_label
_atom_site_fract_x
_atom_site_fract_y
_atom_site_fract_z
Sb1 0.220 0.440 0.650
Sb2 0.780 0.560 0.350
K1 0.000 0.000 0.000
Sb3 0.500 0.000 0.500
# SG	No. 12
# magnetization	0.000	μB per cell
# E_form (uncorrected)	-0.1803	eV per atom
# crystal system	monoclinic
# volume	129.91	Å³/f.u.
# distance to the lowest polymorph of the same formula	0.0	meV/atom
# raw total energy	-120.8	eV per formula unit

---

Q: Which of these has the lowest volume?
A: KTi2S

---

Please write out number 9 again, unchanged.
# KSb3, single point on PBEsol structure, DFT SCAN
data_KSb3
_cell_length_a 3.136
_cell_length_b 6.489
_cell_length_c 6.489
_cell_angle_alpha 117.46
_cell_angle_beta 99.27
_cell_angle_gamma 99.27
_symmetry_space_group_name_H-M 'P 1'
_symmetry_Int_Tables_number 1
_symmetry_space_group_name_Hall 'P 1'
loop_
_atom_site_label
_atom_site_fract_x
_atom_site_fract_y
_atom_site_fract_z
Sb1 0.500 0.500 0.000
Sb2 0.000 0.500 0.500
Sb3 0.500 0.000 0.500
K1 0.000 0.000 0.000
# SG	No. 166
# magnetization	0.000	μB per cell
# E_form (uncorrected)	0.0079	eV per atom
# crystal system	trigonal
# volume	111.40	Å³/f.u.
# distance to the lowest polymorph of the same formula	188.1	meV/atom
# raw total energy	-120.1	eV per formula unit

---

Repeat the seventh record exactly.
# K2ZnS2, single point on PBEsol structure, DFT SCAN
data_K2ZnS2
_cell_length_a 6.139
_cell_length_b 6.638
_cell_length_c 7.724
_cell_angle_alpha 115.45
_cell_angle_beta 113.42
_cell_angle_gamma 90.00
_symmetry_space_group_name_H-M 'P 1'
_symmetry_Int_Tables_number 1
_symmetry_space_group_name_Hall 'P 1'
loop_
_atom_site_label
_atom_site_fract_x
_atom_site_fract_y
_atom_site_fract_z
S1 0.603 0.292 0.205
S2 0.103 0.914 0.205
Zn1 0.750 0.000 0.000
S3 0.397 0.708 0.795
K1 0.855 0.523 0.710
K2 0.145 0.477 0.290
K3 0.355 0.186 0.710
S4 0.897 0.086 0.795
K4 0.645 0.814 0.290
Zn2 0.250 0.000 0.000
# SG	No. 72
# magnetization	0.000	μB per cell
# E_form (uncorrected)	-1.2500	eV per atom
# crystal system	orthorhombic
# volume	127.62	Å³/f.u.
# raw total energy	-55.7	eV per formula unit

---

Q: Which of these has the lowest raw total energy?
A: KSb4